[1]
## Pa2VGe2Ru5 (PBE)

Data for an optimized crystal structure of Pa2VGe2Ru5. Values from VASP.

Structure (Quantum ESPRESSO input):
```
&SYSTEM
  ibrav = 0, nat = 20, ntyp = 4
/
ATOMIC_SPECIES
Pa 231.04 Pa.upf
V 50.94 V.upf
Ge 72.64 Ge.upf
Ru 101.07 Ru.upf
ATOMIC_POSITIONS angstrom
Pa 1.7068 3.1815 0.0000
Pa 3.1815 8.0698 0.0000
Pa 6.5950 1.7068 0.0000
Pa 8.0698 6.5950 0.0000
V 0.0000 0.0000 0.0000
V 4.8883 4.8883 0.0000
Ge 1.2142 6.1024 0.0000
Ge 3.6741 1.2142 0.0000
Ge 6.1024 8.5624 0.0000
Ge 8.5624 3.6741 0.0000
Ru 0.0000 4.8883 1.7746
Ru 0.7279 7.7974 1.7746
Ru 1.9791 0.7279 1.7746
Ru 2.9091 5.6162 1.7746
Ru 4.1603 2.9091 1.7746
Ru 4.8883 0.0000 1.7746
Ru 5.6162 6.8674 1.7746
Ru 6.8674 4.1603 1.7746
Ru 7.7974 9.0486 1.7746
Ru 9.0486 1.9791 1.7746
CELL_PARAMETERS angstrom
9.7765 0.0000 0.0000
0.0000 9.7765 0.0000
0.0000 0.0000 3.5493
```

Energy of formation from the pure elements ... -0.31 eV per atom
D(E_F) ... 20.90 states/eV per cell
Crystal system ... tetragonal



[2]
## LiCa2MgAu6 (PBE)

Data for an optimized crystal structure of LiCa2MgAu6. Values from VASP.

Structure (Quantum ESPRESSO input):
```
&SYSTEM
  ibrav = 0, nat = 10, ntyp = 4
/
ATOMIC_SPECIES
Li 6.94 Li.upf
Ca 40.08 Ca.upf
Mg 24.30 Mg.upf
Au 196.97 Au.upf
ATOMIC_POSITIONS angstrom
Li 0.0000 0.0000 0.0000
Ca 2.1145 2.3236 1.2799
Ca 6.4991 5.8657 5.3135
Mg 4.3068 4.0946 3.2967
Au 1.9226 5.1424 2.2890
Au 3.9675 6.8706 3.9843
Au 4.1767 2.2426 5.3842
Au 4.4369 5.9467 1.2092
Au 4.6461 1.3187 2.6092
Au 6.6910 3.0469 4.3045
CELL_PARAMETERS angstrom
5.0091 0.0000 0.0000
1.7434 6.6657 0.0000
1.8610 1.5236 6.5935
```

Energy of formation from the pure elements ... -0.52 eV per atom
D(E_F) ... 3.71 states/eV per cell
Crystal system ... triclinic



[3]
## Sr2CuHRh (PBE)

Data for an optimized crystal structure of Sr2CuHRh. Values from VASP.

Structure (Quantum ESPRESSO input):
```
&SYSTEM
  ibrav = 0, nat = 10, ntyp = 4
/
ATOMIC_SPECIES
Sr 87.62 Sr.upf
Cu 63.55 Cu.upf
H 1.01 H.upf
Rh 102.91 Rh.upf
ATOMIC_POSITIONS angstrom
Sr 0.2384 1.0569 3.4052
Sr -1.2710 1.0569 8.0522
Sr 4.7674 3.1706 0.3166
Sr 3.2580 3.1706 4.9636
Cu 0.0813 3.1706 5.9221
Cu 3.4151 1.0569 2.4466
H 0.5849 3.1706 1.3211
H 2.9115 1.0569 7.0477
Rh 2.1374 3.1706 1.9770
Rh 1.3589 1.0569 6.3918
CELL_PARAMETERS angstrom
6.4865 0.0000 0.0000
0.0000 4.2274 0.0000
-2.9902 0.0000 8.3688
```

Energy above the most stable polymorph in this dataset ... 0 meV/atom
D(E_F) ... 3.09 states/eV per cell
Crystal system ... monoclinic



[4]
## ZnTc2Sb (PBE)

Data for an optimized crystal structure of ZnTc2Sb. Values from VASP.

Structure (Quantum ESPRESSO input):
```
&SYSTEM
  ibrav = 0, nat = 4, ntyp = 3
/
ATOMIC_SPECIES
Zn 65.41 Zn.upf
Tc 98.00 Tc.upf
Sb 121.76 Sb.upf
ATOMIC_POSITIONS angstrom
Zn 0.0000 0.0000 0.0000
Tc 1.2850 0.0000 3.8619
Tc 6.1686 0.0000 1.1212
Sb 3.7268 0.0000 2.4916
CELL_PARAMETERS angstrom
4.2815 -1.5328 0.0000
4.2815 1.5328 0.0000
-1.1094 0.0000 4.9832
```

Energy above the most stable polymorph in this dataset ... 155 meV/atom
D(E_F) ... 4.14 states/eV per cell
Crystal system ... monoclinic



[5]
## Ac2Ag3Ge4Au (PBE)

Data for an optimized crystal structure of Ac2Ag3Ge4Au. Values from VASP.

Structure (Quantum ESPRESSO input):
```
&SYSTEM
  ibrav = 0, nat = 10, ntyp = 4
/
ATOMIC_SPECIES
Ac 227.00 Ac.upf
Ag 107.87 Ag.upf
Ge 72.64 Ge.upf
Au 196.97 Au.upf
ATOMIC_POSITIONS angstrom
Ac 0.0000 2.2906 2.6791
Ac 2.2906 0.0000 8.0730
Ag 0.0000 0.0000 0.0000
Ag 0.0000 2.2906 6.7537
Ag 2.2906 0.0000 3.9984
Ge 0.0000 0.0000 5.3761
Ge 0.0000 2.2906 9.3341
Ge 2.2906 0.0000 1.4180
Ge 2.2906 2.2906 5.3761
Au 2.2906 2.2906 0.0000
CELL_PARAMETERS angstrom
4.5811 0.0000 0.0000
0.0000 4.5811 0.0000
0.0000 0.0000 10.7521
```

Energy of formation from the pure elements ... -0.44 eV per atom
D(E_F) ... 3.42 states/eV per cell
Crystal system ... tetragonal



[6]
## Mn2NiC2 (PBE)

Data for an optimized crystal structure of Mn2NiC2. Values from VASP.

Structure (Quantum ESPRESSO input):
```
&SYSTEM
  ibrav = 0, nat = 5, ntyp = 3
/
ATOMIC_SPECIES
Mn 54.94 Mn.upf
Ni 58.69 Ni.upf
C 12.01 C.upf
ATOMIC_POSITIONS angstrom
Mn 1.7018 0.0000 1.8755
Mn 0.0000 1.7018 1.8755
Ni 0.0000 0.0000 0.0000
C 0.0000 0.0000 3.0006
C 0.0000 0.0000 4.5015
CELL_PARAMETERS angstrom
-1.7018 1.7018 3.7510
1.7018 -1.7018 3.7510
1.7018 1.7018 -3.7510
```

Energy of formation from the pure elements ... 0.34 eV per atom
Energy above the most stable polymorph in this dataset ... 0 meV/atom
D(E_F) ... 5.24 states/eV per cell
Crystal system ... tetragonal



[7]
## ReMo2S2 (PBE)

Data for an optimized crystal structure of ReMo2S2. Values from VASP.

Structure (Quantum ESPRESSO input):
```
&SYSTEM
  ibrav = 0, nat = 5, ntyp = 3
/
ATOMIC_SPECIES
Re 186.21 Re.upf
Mo 95.94 Mo.upf
S 32.06 S.upf
ATOMIC_POSITIONS angstrom
Re 0.0000 0.0000 0.0000
Mo 2.3470 0.0000 1.7906
Mo 0.0000 2.3470 1.7906
S 0.0000 0.0000 2.3524
S 0.0000 0.0000 4.8099
CELL_PARAMETERS angstrom
-2.3470 2.3470 3.5811
2.3470 -2.3470 3.5811
2.3470 2.3470 -3.5811
```

Energy above the most stable polymorph in this dataset ... 157 meV/atom
D(E_F) ... 5.41 states/eV per cell
Crystal system ... tetragonal



[8]
## Ni2OsBr (PBE)

Data for an optimized crystal structure of Ni2OsBr. Values from VASP.

Structure (Quantum ESPRESSO input):
```
&SYSTEM
  ibrav = 0, nat = 4, ntyp = 3
/
ATOMIC_SPECIES
Ni 58.69 Ni.upf
Os 190.23 Os.upf
Br 79.90 Br.upf
ATOMIC_POSITIONS angstrom
Ni 0.0000 0.0000 0.0000
Ni 0.0000 2.1322 1.5146
Os 2.1322 0.0000 1.5146
Br 0.0000 0.0000 3.0293
CELL_PARAMETERS angstrom
-2.1322 2.1322 3.0293
2.1322 -2.1322 3.0293
2.1322 2.1322 -3.0293
```

Energy above the most stable polymorph in this dataset ... 530 meV/atom
D(E_F) ... 4.84 states/eV per cell
Crystal system ... tetragonal



[9]
## LiLaCu2 (PBE)

Data for an optimized crystal structure of LiLaCu2. Values from VASP.

Structure (Quantum ESPRESSO input):
```
&SYSTEM
  ibrav = 0, nat = 4, ntyp = 3
/
ATOMIC_SPECIES
Li 6.94 Li.upf
La 138.91 La.upf
Cu 63.55 Cu.upf
ATOMIC_POSITIONS angstrom
Li 0.0000 0.0000 0.0000
La 0.0000 0.0000 11.8489
Cu 0.0000 0.0000 4.0833
Cu 0.0000 0.0000 8.8123
CELL_PARAMETERS angstrom
2.1551 1.2442 4.9216
-2.1551 1.2442 4.9216
0.0000 -2.4884 4.9216
```

Energy of formation from the pure elements ... -0.05 eV per atom
D(E_F) ... 2.46 states/eV per cell
Crystal system ... trigonal



[10]
## HgBi3P (PBE)

Data for an optimized crystal structure of HgBi3P. Values from VASP.

Structure (Quantum ESPRESSO input):
```
&SYSTEM
  ibrav = 0, nat = 5, ntyp = 3
/
ATOMIC_SPECIES
Hg 200.59 Hg.upf
Bi 208.98 Bi.upf
P 30.97 P.upf
ATOMIC_POSITIONS angstrom
Hg 0.0000 0.0000 0.0000
Bi 0.0000 0.0000 2.8259
Bi 0.0000 2.8259 0.0000
Bi 2.8259 0.0000 0.0000
P 2.8259 2.8259 2.8259
CELL_PARAMETERS angstrom
5.6518 0.0000 0.0000
0.0000 5.6518 0.0000
0.0000 0.0000 5.6518
```

Energy of formation from the pure elements ... 1.11 eV per atom
Energy above the most stable polymorph in this dataset ... 646 meV/atom
D(E_F) ... 6.89 states/eV per cell
Crystal system ... cubic



[11]
## NaHoGa2 (PBE)

Data for an optimized crystal structure of NaHoGa2. Values from VASP.

Structure (Quantum ESPRESSO input):
```
&SYSTEM
  ibrav = 0, nat = 4, ntyp = 3
/
ATOMIC_SPECIES
Na 22.99 Na.upf
Ho 164.93 Ho.upf
Ga 69.72 Ga.upf
ATOMIC_POSITIONS angstrom
Na 0.0000 0.0000 0.0000
Ho 3.5286 3.5286 3.5286
Ga 1.7643 1.7643 1.7643
Ga 5.2929 5.2929 5.2929
CELL_PARAMETERS angstrom
0.0000 3.5286 3.5286
3.5286 0.0000 3.5286
3.5286 3.5286 0.0000
```

Energy of formation from the pure elements ... -0.28 eV per atom
Energy above the most stable polymorph in this dataset ... 24 meV/atom
D(E_F) ... 1.59 states/eV per cell
Crystal system ... cubic



[12]
## Pu2VIr (PBE)

Data for an optimized crystal structure of Pu2VIr. Values from VASP.

Structure (Quantum ESPRESSO input):
```
&SYSTEM
  ibrav = 0, nat = 4, ntyp = 3
/
ATOMIC_SPECIES
Pu 244.00 Pu.upf
V 50.94 V.upf
Ir 192.22 Ir.upf
ATOMIC_POSITIONS angstrom
Pu 0.0000 1.7760 0.0000
Pu 1.7760 0.0000 0.0000
V 0.0000 0.0000 2.5690
Ir 1.7760 1.7760 2.5690
CELL_PARAMETERS angstrom
3.5520 0.0000 0.0000
0.0000 3.5520 0.0000
0.0000 0.0000 5.1379
```

Energy of formation from the pure elements ... 0.21 eV per atom
Energy above the most stable polymorph in this dataset ... 238 meV/atom
D(E_F) ... 8.91 states/eV per cell
Crystal system ... tetragonal



[13]
## Gd2ThTl (PBE)

Data for an optimized crystal structure of Gd2ThTl. Values from VASP.

Structure (Quantum ESPRESSO input):
```
&SYSTEM
  ibrav = 0, nat = 4, ntyp = 3
/
ATOMIC_SPECIES
Gd 157.25 Gd.upf
Th 232.04 Th.upf
Tl 204.38 Tl.upf
ATOMIC_POSITIONS angstrom
Gd 0.0000 2.4626 0.0000
Gd 2.4626 0.0000 0.0000
Th 0.0000 0.0000 2.4403
Tl 2.4626 2.4626 2.4403
CELL_PARAMETERS angstrom
4.9252 0.0000 0.0000
0.0000 4.9252 0.0000
0.0000 0.0000 4.8807
```

Energy of formation from the pure elements ... -0.14 eV per atom
Energy above the most stable polymorph in this dataset ... 52 meV/atom
D(E_F) ... 3.88 states/eV per cell
Crystal system ... tetragonal